Here is a geometry-optimized TbPu2Ir3 structure from the Alexandria database. Energies are from GGA-PBE.

Summary:
Total magnetization: 1.47 μB per atom
Total DFT energy (no corrections): -62.359 eV/cell
Formation energy: -0.414 eV/atom
Space-group type: No. 71

The structure in CIF format:
```
data_TbPu2Ir3
_chemical_formula_sum 'Tb1 Pu2 Ir3'
_cell_length_a 3.9870
_cell_length_b 5.6299
_cell_length_c 6.9003
_cell_angle_alpha 114.08
_cell_angle_beta 106.79
_cell_angle_gamma 90.00
_space_group_name_H-M_alt 'P 1'
_space_group_IT_number 1
loop_
_space_group_symop_operation_xyz
'x,y,z'
loop_
_atom_site_label
_atom_site_fract_x
_atom_site_fract_y
_atom_site_fract_z
Ir1 0.0000 0.0000 0.0000
Ir2 0.3186 0.3186 0.6372
Ir3 0.6814 0.6814 0.3628
Pu1 0.6618 0.1618 0.3235
Pu2 0.3382 0.8382 0.6765
Tb1 0.0000 0.5000 0.0000
```

=====

Here is a geometry-optimized Ho2TeRh structure from the Alexandria database. Energies are from GGA-PBE.

Summary:
ΔE to the lowest computed polymorph: 0.0002 eV per atom
Total magnetization: 0.00 μB per atom
Total DFT energy (no corrections): -23.745 eV/cell
Space-group type: No. 160
Formation energy (no corrections): -395 kJ/mol of formula units

The structure in CIF format:
```
data_Ho2TeRh
_chemical_formula_sum 'Ho2 Te1 Rh1'
_cell_length_a 4.1168
_cell_length_b 4.1168
_cell_length_c 7.5676
_cell_angle_alpha 74.22
_cell_angle_beta 74.22
_cell_angle_gamma 60.00
_space_group_name_H-M_alt 'P 1'
_space_group_IT_number 1
loop_
_space_group_symop_operation_xyz
'x,y,z'
loop_
_atom_site_label
_atom_site_fract_x
_atom_site_fract_y
_atom_site_fract_z
Te1 0.5012 0.5012 0.4965
Ho1 0.2648 0.2648 0.2057
Ho2 0.0691 0.0691 0.7927
Rh1 0.6649 0.6649 0.0052
```

=====

Here is a geometry-optimized Tl2CdIn2Sn2 structure from the Alexandria database. Energies are from GGA-PBE.

Summary:
Total magnetization: 0.00 μB per atom
Total DFT energy (no corrections): -18.693 eV/cell
Formation energy: 0.062 eV/atom
Space-group type: No. 12

The structure in CIF format:
```
data_Tl2CdIn2Sn2
_chemical_formula_sum 'Tl2 Cd1 In2 Sn2'
_cell_length_a 4.3646
_cell_length_b 6.1560
_cell_length_c 9.0347
_cell_angle_alpha 66.81
_cell_angle_beta 90.00
_cell_angle_gamma 110.76
_space_group_name_H-M_alt 'P 1'
_space_group_IT_number 1
loop_
_space_group_symop_operation_xyz
'x,y,z'
loop_
_atom_site_label
_atom_site_fract_x
_atom_site_fract_y
_atom_site_fract_z
Cd1 0.0000 0.0000 0.5000
In1 0.7285 0.4570 0.3835
In2 0.2715 0.5430 0.6165
Tl1 0.4844 0.9687 0.2081
Tl2 0.5156 0.0313 0.7919
Sn1 0.2278 0.4555 0.1292
Sn2 0.7722 0.5445 0.8708
```

=====

Here is a geometry-optimized RbHOs2 structure from the Alexandria database. Energies are from GGA-PBE.

Summary:
ΔE to the lowest computed polymorph: 1.7688 eV per atom
Total magnetization: 0.52 μB per atom
Total DFT energy (no corrections): -14.500 eV/cell
Space-group type: No. 225

The structure in CIF format:
```
data_RbHOs2
_chemical_formula_sum 'Rb1 H1 Os2'
_cell_length_a 4.4907
_cell_length_b 4.4907
_cell_length_c 4.4907
_cell_angle_alpha 60.00
_cell_angle_beta 60.00
_cell_angle_gamma 60.00
_space_group_name_H-M_alt 'P 1'
_space_group_IT_number 1
loop_
_space_group_symop_operation_xyz
'x,y,z'
loop_
_atom_site_label
_atom_site_fract_x
_atom_site_fract_y
_atom_site_fract_z
Os1 0.2500 0.2500 0.2500
Os2 0.7500 0.7500 0.7500
Rb1 0.5000 0.5000 0.5000
H1 0.0000 0.0000 0.0000
```

=====

Here is a geometry-optimized Tl10Cd3In3 structure from the Alexandria database. Energies are from GGA-PBE.

Summary:
Total magnetization: 0.00 μB per atom
Total DFT energy (no corrections): -33.827 eV/cell
Formation energy: 0.050 eV/atom
Space-group type: No. 189

The structure in CIF format:
```
data_Tl10Cd3In3
_chemical_formula_sum 'Tl10 Cd3 In3'
_cell_length_a 6.2578
_cell_length_b 9.3759
_cell_length_c 9.3759
_cell_angle_alpha 120.00
_cell_angle_beta 90.00
_cell_angle_gamma 90.00
_space_group_name_H-M_alt 'P 1'
_space_group_IT_number 1
loop_
_space_group_symop_operation_xyz
'x,y,z'
loop_
_atom_site_label
_atom_site_fract_x
_atom_site_fract_y
_atom_site_fract_z
In1 0.0000 0.5913 0.0000
In2 0.0000 0.4087 0.4087
In3 0.0000 0.0000 0.5913
Tl1 0.0000 0.7733 0.7733
Tl2 0.7482 0.3333 0.6667
Tl3 0.2518 0.6667 0.3333
Tl4 0.0000 0.2267 0.0000
Tl5 0.0000 0.0000 0.2267
Tl6 0.5000 0.0000 0.7742
Tl7 0.5000 0.7742 0.0000
Tl8 0.2518 0.3333 0.6667
Tl9 0.5000 0.2258 0.2258
Tl10 0.7482 0.6667 0.3333
Cd1 0.5000 0.0000 0.4057
Cd2 0.5000 0.5943 0.5943
Cd3 0.5000 0.4057 0.0000
```

=====

Here is a geometry-optimized Rb3Sm2MnTe6 structure from the Alexandria database. Energies are from GGA-PBE.

Summary:
Total magnetization: 0.33 μB per atom
Total DFT energy (no corrections): -52.917 eV/cell
Space-group type: No. 12
Formation energy (no corrections): -1212 kJ/mol of formula units

The structure in CIF format:
```
data_Rb3Sm2MnTe6
_chemical_formula_sum 'Rb3 Sm2 Mn1 Te6'
_cell_length_a 7.7419
_cell_length_b 7.7419
_cell_length_c 8.9553
_cell_angle_alpha 99.02
_cell_angle_beta 99.02
_cell_angle_gamma 118.55
_space_group_name_H-M_alt 'P 1'
_space_group_IT_number 1
loop_
_space_group_symop_operation_xyz
'x,y,z'
loop_
_atom_site_label
_atom_site_fract_x
_atom_site_fract_y
_atom_site_fract_z
Rb1 0.1749 0.8251 0.5000
Rb2 0.8251 0.1749 0.5000
Rb3 0.5000 0.5000 0.5000
Te1 0.2572 0.2572 0.7893
Te2 0.9404 0.6383 0.8144
Te3 0.3617 0.0596 0.1856
Te4 0.6383 0.9404 0.8144
Te5 0.7428 0.7428 0.2107
Te6 0.0596 0.3617 0.1856
Sm1 0.6620 0.3380 0.0000
Sm2 0.3380 0.6620 0.0000
Mn1 0.0000 0.0000 0.0000
```

=====

> What is the total magnetization in the fourth record?

0.52 μB per atom

=====

> Which formula does entry 3 have?

Tl2CdIn2Sn2

=====

> What is the formula in the fifth record?

Tl10Cd3In3